A geometry-optimized PmErB12 structure. Source: the Alexandria database, functional PBE-GGA.

Results
- energy (eV for the cell shown) = -95.27
- space group = P4/mmm
- DFT formation energy (meV/atom) = -416
- calculated volume (Å³ per atom) = 9.89

extended XYZ file:
```
14
Lattice="-2.858 2.906 -0.491 -1.603 -2.108 -3.137 -4.948 -3.986 5.207" Properties=species:S:1:pos:R:3 pbc="T T T"
Pm -2.474 -1.993 2.603
B -5.090 -3.472 2.248
B -5.468 -1.963 3.044
B -6.690 -3.193 2.878
B -2.976 0.044 0.422
B -2.598 -1.465 -0.374
B -5.200 -1.993 1.311
B -2.719 0.006 -1.300
B -3.941 -1.224 -1.466
Er 0.000 0.000 0.000
B -4.319 0.284 -0.670
B -4.209 -1.195 0.267
B -6.433 -3.232 1.156
B -6.811 -1.723 1.952
```